Entry 1:
DFT (PBE) results for Pm9DySc2 after structural relaxation.

Cell lengths 5.055, 5.055, 15.171 Å; angles 90.00, 90.00, 90.00 degrees
Space group P4/mmm (No. 123)
One atom of each set of equivalent atoms:
1 Pm 0.000 0.000 0.000 (multiplicity 1)
2 Pm 0.000 0.000 0.336 (multiplicity 2)
3 Pm 0.000 0.500 0.171 (multiplicity 4)
4 Pm 0.000 0.500 0.500 (multiplicity 2)
5 Dy 0.500 0.500 0.000 (multiplicity 1)
6 Sc 0.500 0.500 0.336 (multiplicity 2)

Values from the calculation:
ΔE_f: 0.03 eV/atom
Crystal system: tetragonal

Entry 2:
DFT (PBE) results for ZrAg2Sb after structural relaxation.

Cell lengths 7.902, 7.902, 5.737 Å; angles 90.00, 90.00, 90.00 degrees
Space group I-42d (No. 122)
One atom of each set of equivalent atoms:
1 Zr 0.000 0.000 0.000 (multiplicity 4)
2 Ag 0.237 0.250 0.625 (multiplicity 8)
3 Sb 0.000 0.000 0.500 (multiplicity 4)

Values from the calculation:
Crystal system: tetragonal
Formation energy from raw total energies: 0.08 eV/atom

Number 1: energy -4.970 eV/atom, total moment 0.00 μB/atom. Number 2: energy -4.512 eV/atom, total moment 0.00 μB/atom.